# PBE RbCeNd4S8, relaxed
data_RbCeNd4S8
_chemical_formula_sum 'Rb3 Ce3 Nd12 S24'
_cell_length_a 8.5316
_cell_length_b 8.5316
_cell_length_c 20.9660
_cell_angle_alpha 90.00
_cell_angle_beta 90.00
_cell_angle_gamma 120.00
_symmetry_space_group_name_H-M 'R 3 m'
_symmetry_Int_Tables_number 160
_symmetry_space_group_name_Hall 'R 3 -2"'
loop_
_atom_site_label
_atom_site_type_symbol
_atom_site_fract_x
_atom_site_fract_y
_atom_site_fract_z
_atom_site_occupancy
Rb1 Rb 0.0000 0.0000 0.0000 1
Ce1 Ce 0.0000 0.0000 0.3723 1
Nd1 Nd 0.0000 0.0000 0.7503 1
Nd2 Nd 0.0106 0.5053 0.8767 1
S1 S 0.0000 0.0000 0.1434 1
S2 S 0.0000 0.0000 0.6182 1
S3 S 0.0186 0.5093 0.1285 1
S4 S 0.1920 0.3840 0.9533 1
# Theoretical density in Mg/m³: 3.992
# E_tot in eV per atom: -6.08

# PBE Rb3Ce2NdS6, relaxed
data_Rb3Ce2NdS6
_chemical_formula_sum 'Rb6 Ce4 Nd2 S12'
_cell_length_a 7.348
_cell_length_b 12.726
_cell_length_c 8.068
_cell_angle_alpha 90.00
_cell_angle_beta 107.67
_cell_angle_gamma 90.00
_symmetry_space_group_name_H-M 'C 1 2/m 1'
_symmetry_Int_Tables_number 12
_symmetry_space_group_name_Hall '-C 2y'
loop_
_atom_site_label
_atom_site_type_symbol
_atom_site_fract_x
_atom_site_fract_y
_atom_site_fract_z
_atom_site_occupancy
Rb1 Rb 0.000 0.000 0.000 1
Rb2 Rb 0.000 0.334 0.000 1
Ce1 Ce 0.000 0.167 0.500 1
Nd1 Nd 0.000 0.500 0.500 1
S1 S 0.232 0.000 0.696 1
S2 S 0.232 0.333 0.696 1
# Theoretical density in Mg/m³: 4.035
# E_tot in eV per atom: -5.48

In the order shown, the computed Fermi-level density of states values come out to 8.427; 11.581 states/eV/f.u..